A plane-wave DFT calculation with PBE was carried out for ScGa2Cu9 after structural relaxation.

## Properties
Energy relative to the elements (kJ/mol of formula units): -96.9

extended XYZ file:
```
12
Lattice="2.4564 1.4182 7.9388 -2.4564 1.4182 7.9388 0.0000 -2.8364 7.9388" Properties=species:S:1:pos:R:3 pbc="T T T"
Sc 0.0000 0.0000 0.0000
Ga 0.0000 0.0000 3.3370
Ga 0.0000 0.0000 20.4793
Cu -1.2463 -0.7195 9.9763
Cu 0.0000 0.0000 7.9502
Cu 0.0000 -1.4391 13.8400
Cu -1.2463 0.7195 13.8400
Cu 0.0000 0.0000 11.9081
Cu 1.2463 -0.7195 9.9763
Cu 0.0000 1.4391 9.9763
Cu 0.0000 0.0000 15.8661
Cu 1.2463 0.7195 13.8400
```

---

A plane-wave DFT calculation with PBE was carried out for Be2InSiN after structural relaxation.

extended XYZ file:
```
5
Lattice="3.6111 0.0000 0.0000 0.0000 3.6111 0.0000 0.0000 0.0000 5.2058" Properties=species:S:1:pos:R:3 pbc="T T T"
Be 0.0000 1.8056 0.0000
Be 1.8056 0.0000 0.0000
In 0.0000 0.0000 2.6029
Si 1.8056 1.8056 2.6029
N 0.0000 0.0000 0.0000
```

---

A plane-wave DFT calculation with PBE was carried out for NdPaAl2 after structural relaxation.

## Properties
Energy relative to the elements (kJ/mol of formula units): -18.2
Excess energy over the best structure of this formula in the dataset (meV per atom): 154.7

extended XYZ file:
```
4
Lattice="0.0000 3.6586 3.6586 3.6586 0.0000 3.6586 3.6586 3.6586 0.0000" Properties=species:S:1:pos:R:3 pbc="T T T"
Nd 0.0000 0.0000 0.0000
Pa 3.6586 3.6586 3.6586
Al 1.8293 1.8293 1.8293
Al 5.4880 5.4880 5.4880
```

---

A plane-wave DFT calculation with PBE was carried out for ZnInRu3 after structural relaxation.

## Properties
Energy relative to the elements (kJ/mol of formula units): 958.7
Excess energy over the best structure of this formula in the dataset (meV per atom): 735.2

extended XYZ file:
```
5
Lattice="4.8760 0.0000 0.0000 0.0000 4.8760 0.0000 0.0000 0.0000 4.8760" Properties=species:S:1:pos:R:3 pbc="T T T"
Zn 0.0000 0.0000 0.0000
In 2.4380 2.4380 2.4380
Ru 0.0000 2.4380 2.4380
Ru 2.4380 0.0000 2.4380
Ru 2.4380 2.4380 0.0000
```

---

no.,VASP energy (eV per atom)
1,-4.188
2,-4.466
3,-5.484
4,-4.381